1.
DFT (GGA-PBE) results for MgZnGeAu after structural relaxation.

a = 6.5811 Å, b = 6.5811 Å, c = 6.5811 Å
α = 90.00°, β = 90.00°, γ = 90.00°
Last column: nearest neighbours and their distance in Å.
Space group F-43m (No. 216)
Symmetry-distinct sites (fractional):
Mg  0.0000  0.0000  0.0000 x4  4 Ge 2.85, 4 Au 2.85
Zn  0.0000  0.0000  0.5000 x4  4 Au 2.85, 4 Ge 2.85
Ge  0.2500  0.2500  0.7500 x4  4 Mg 2.85, 4 Zn 2.85
Au  0.2500  0.2500  0.2500 x4  4 Mg 2.85, 4 Zn 2.85

Properties
- formation energy (meV per atom) = -124
- DFT total energy (hartree per atom) = -0.103



2.
DFT (GGA-PBE) results for Li5Co3H12 after structural relaxation.

a = 10.0185 Å, b = 10.0185 Å, c = 10.0185 Å
α = 90.00°, β = 90.00°, γ = 90.00°
Last column: nearest neighbours and their distance in Å.
Space group Ia-3d (No. 230)
Symmetry-distinct sites (fractional):
Li  0.0000  0.0000  0.0000 x16  6 H 1.80
Li  0.0000  0.2500  0.3750 x24  4 H 1.73
Co  0.0000  0.2500  0.1250 x24  8 H 1.68-1.82
H  0.0062  0.0853  0.6584 x96  1 H 1.60, 1 Co 1.68, 1 Li 1.73

Properties
- DFT total energy (hartree per atom) = -0.132



3.
DFT (GGA-PBE) results for TaZn3Co after structural relaxation.

a = 4.3587 Å, b = 4.3587 Å, c = 4.3587 Å
α = 90.00°, β = 90.00°, γ = 90.00°
Last column: nearest neighbours and their distance in Å.
Space group Pm-3m (No. 221)
Symmetry-distinct sites (fractional):
Ta  0.0000  0.0000  0.0000 x1  12 Zn 3.08
Zn  0.0000  0.5000  0.5000 x3  2 Co 2.18
Co  0.5000  0.5000  0.5000 x1  6 Zn 2.18

Properties
- formation energy (meV per atom) = 775
- polymorph energy (0 for the lowest one) (eV per formula unit) = 0.00
- DFT total energy (hartree per atom) = -0.139



4.
DFT (GGA-PBE) results for TbSm2Y3Bi6 after structural relaxation.

a = 7.8146 Å, b = 13.5373 Å, c = 7.8057 Å
α = 90.00°, β = 109.48°, γ = 90.00°
Last column: nearest neighbours and their distance in Å.
Space group C2/m (No. 12)
Symmetry-distinct sites (fractional):
Tb  0.0000  0.0000  0.0000 x2  6 Bi 3.19
Sm  0.0000  0.3338  0.0000 x4  6 Bi 3.21
Y  0.0000  0.1679  0.5000 x4  6 Bi 3.17-3.18
Y  0.0000  0.5000  0.5000 x2  6 Bi 3.17-3.19
Bi  0.2459  0.0000  0.7458 x4  3 Y 3.17-3.19, 1 Tb 3.19, 2 Sm 3.21
Bi  0.2496  0.1655  0.2529 x8  3 Y 3.17-3.18, 1 Tb 3.19, 2 Sm 3.21

Properties
- formation energy (meV per atom) = -903
- DFT total energy (hartree per atom) = -0.207



5.
DFT (GGA-PBE) results for BeTlIn2 after structural relaxation.

a = 3.9474 Å, b = 4.8620 Å, c = 10.7356 Å
α = 90.00°, β = 90.00°, γ = 90.00°
Last column: nearest neighbours and their distance in Å.
Space group Amm2 (No. 38)
Symmetry-distinct sites (fractional):
Be  0.0000  0.0000  0.0000 x2  4 In 2.43-2.60, 2 Tl 2.68
Tl  0.5000  0.0000  0.8308 x2  2 Be 2.68
In  0.0000  0.0000  0.4955 x2  2 Be 2.43
In  0.5000  0.0000  0.1574 x2  2 Be 2.60

Properties
- formation energy (meV per atom) = 333
- polymorph energy (0 for the lowest one) (eV per formula unit) = 0.18
- DFT total energy (hartree per atom) = -0.094



6.
DFT (GGA-PBE) results for CoPt2Pb after structural relaxation.

a = 2.9693 Å, b = 2.9693 Å, c = 27.6402 Å
α = 90.00°, β = 90.00°, γ = 120.00°
Last column: nearest neighbours and their distance in Å.
Space group R-3m (No. 166, hexagonal axes)
Symmetry-distinct sites (fractional):
Co  0.0000  0.0000  0.0000 x3  6 Pt 2.61
Pt  0.0000  0.0000  0.2620 x6  3 Co 2.61
Pb  0.0000  0.0000  0.5000 x3  6 Pb 2.97, 6 Pt 3.14

Properties
- formation energy (meV per atom) = 248
- DFT total energy (hartree per atom) = -0.201



7.
DFT (GGA-PBE) results for Sc2AlS4 after structural relaxation.

a = 10.4605 Å, b = 10.4605 Å, c = 10.4605 Å
α = 90.00°, β = 90.00°, γ = 90.00°
Last column: nearest neighbours and their distance in Å.
Space group Fd-3m (No. 227, origin choice 2)
Symmetry-distinct sites (fractional):
Sc  0.0000  0.0000  0.0000 x16  6 S 2.60
Al  0.1250  0.1250  0.6250 x8  4 S 2.29
S  0.0014  0.0014  0.2486 x32  1 Al 2.29

Properties
- polymorph energy (0 for the lowest one) (eV per formula unit) = 0.00
- DFT total energy (hartree per atom) = -0.232
- E_form (uncorrected) (eV/atom) = -1.614



8.
DFT (GGA-PBE) results for ReAs2P after structural relaxation.

a = 4.2037 Å, b = 3.1334 Å, c = 4.9275 Å
α = 90.00°, β = 101.71°, γ = 90.00°
Last column: nearest neighbours and their distance in Å.
Space group P2/m (No. 10)
Symmetry-distinct sites (fractional):
Re  0.0000  0.0000  0.0000 x1  4 P 2.62, 6 As 2.90-2.92
As  0.0000  0.5000  0.5000 x1  4 As 2.62, 2 P 2.90, 4 Re 2.92
As  0.5000  0.0000  0.5000 x1  4 As 2.62, 2 Re 2.90, 4 P 2.92
P  0.5000  0.5000  0.0000 x1  4 Re 2.62, 6 As 2.90-2.92

Properties
- formation energy (meV per atom) = 671
- DFT total energy (hartree per atom) = -0.225



9.
DFT (GGA-PBE) results for LiAu8 after structural relaxation.

a = 9.0745 Å, b = 9.0745 Å, c = 3.8333 Å
α = 90.00°, β = 90.00°, γ = 90.00°
Last column: nearest neighbours and their distance in Å.
Space group I4/mmm (No. 139)
Symmetry-distinct sites (fractional):
Li  0.0000  0.0000  0.0000 x2  12 Au 2.81-3.00
Au  0.0000  0.3304  0.0000 x8  11 Au 2.86-3.09, 1 Li 3.00
Au  0.1599  0.1599  0.5000 x8  2 Li 2.81, 10 Au 2.86-3.09

Properties
- formation energy (meV per atom) = -156
- DFT total energy (hartree per atom) = -0.121



10.
DFT (GGA-PBE) results for BC2 after structural relaxation.

a = 4.6383 Å, b = 2.5404 Å, c = 6.4682 Å
α = 90.00°, β = 95.45°, γ = 90.00°
Last column: nearest neighbours and their distance in Å.
Space group Pm (No. 6)
Symmetry-distinct sites (fractional):
B  0.0000  0.0000  0.0000 x1  1 C 1.67, 3 B 1.74-1.86
B  0.0265  0.0000  0.7150 x1  3 C 1.58-1.60
B  0.7054  0.0000  0.4397 x1  3 C 1.63-1.68
B  0.8156  0.5000  0.1163 x1  2 C 1.54-1.59
C  0.2044  0.5000  0.4193 x1  4 C 1.52-1.56
C  0.2129  0.5000  0.6600 x1  2 C 1.54-1.55, 2 B 1.60
C  0.3482  0.0000  0.0929 x1  3 C 1.53-1.60, 1 B 1.67
C  0.3570  0.0000  0.3411 x1  3 C 1.56-1.60, 1 B 1.68
C  0.4894  0.5000  0.0167 x1  3 C 1.53-1.57, 1 B 1.59
C  0.5188  0.5000  0.7769 x1  4 C 1.54-1.57
C  0.6871  0.0000  0.7243 x1  2 C 1.55, 1 B 1.58
C  0.8801  0.5000  0.3539 x1  1 C 1.52, 3 B 1.54-1.63

Properties
- formation energy (meV per atom) = 356
- polymorph energy (0 for the lowest one) (eV per formula unit) = 0.35
- DFT total energy (hartree per atom) = -0.295



11.
DFT (GGA-PBE) results for InReH2N after structural relaxation.

a = 3.3739 Å, b = 3.3739 Å, c = 5.7575 Å
α = 90.00°, β = 90.00°, γ = 90.00°
Last column: nearest neighbours and their distance in Å.
Space group P4/mmm (No. 123)
Symmetry-distinct sites (fractional):
In  0.0000  0.0000  0.0000 x1  4 N 2.39
Re  0.0000  0.0000  0.5000 x1  4 H 1.69
H  0.0000  0.5000  0.5000 x2  2 Re 1.69
N  0.5000  0.5000  0.0000 x1  4 In 2.39

Properties
- DFT total energy (hartree per atom) = -0.179



12.
DFT (GGA-PBE) results for PrGdPu2 after structural relaxation.

a = 7.8894 Å, b = 7.8894 Å, c = 7.8894 Å
α = 90.00°, β = 90.00°, γ = 90.00°
Last column: nearest neighbours and their distance in Å.
Space group Fm-3m (No. 225)
Symmetry-distinct sites (fractional):
Pr  0.0000  0.0000  0.0000 x4  8 Pu 3.42
Gd  0.0000  0.0000  0.5000 x4  8 Pu 3.42
Pu  0.2500  0.2500  0.2500 x8  4 Gd 3.42, 4 Pr 3.42

Properties
- formation energy (meV per atom) = 291
- polymorph energy (0 for the lowest one) (eV per formula unit) = 0.31
- DFT total energy (hartree per atom) = -0.426



> Among the records above, which one has the lowest DFT total energy?

PrGdPu2



> The lowest DFT total energy belongs to which entry?

PrGdPu2



> What is the DFT total energy in the third record?

-0.139 hartree per atom



Copy entry 10 word for word.
DFT (GGA-PBE) results for BC2 after structural relaxation.

a = 4.6383 Å, b = 2.5404 Å, c = 6.4682 Å
α = 90.00°, β = 95.45°, γ = 90.00°
Last column: nearest neighbours and their distance in Å.
Space group Pm (No. 6)
Symmetry-distinct sites (fractional):
B  0.0000  0.0000  0.0000 x1  1 C 1.67, 3 B 1.74-1.86
B  0.0265  0.0000  0.7150 x1  3 C 1.58-1.60
B  0.7054  0.0000  0.4397 x1  3 C 1.63-1.68
B  0.8156  0.5000  0.1163 x1  2 C 1.54-1.59
C  0.2044  0.5000  0.4193 x1  4 C 1.52-1.56
C  0.2129  0.5000  0.6600 x1  2 C 1.54-1.55, 2 B 1.60
C  0.3482  0.0000  0.0929 x1  3 C 1.53-1.60, 1 B 1.67
C  0.3570  0.0000  0.3411 x1  3 C 1.56-1.60, 1 B 1.68
C  0.4894  0.5000  0.0167 x1  3 C 1.53-1.57, 1 B 1.59
C  0.5188  0.5000  0.7769 x1  4 C 1.54-1.57
C  0.6871  0.0000  0.7243 x1  2 C 1.55, 1 B 1.58
C  0.8801  0.5000  0.3539 x1  1 C 1.52, 3 B 1.54-1.63

Properties
- formation energy (meV per atom) = 356
- polymorph energy (0 for the lowest one) (eV per formula unit) = 0.35
- DFT total energy (hartree per atom) = -0.295